<P>
Sc4Te2Pb, optimized geometry, DFT PBE; space group = I4/mmm (139); calculated volume = 30.9 Å³/atom
1.0
5.430 0.000 0.000
0.000 5.430 0.000
2.715 2.715 7.325
Pb Sc Te
1 4 2
Direct
0.000 0.000 0.000
0.195 0.195 0.610
0.805 0.805 0.390
0.000 0.500 0.000
0.500 0.000 0.000
0.384 0.384 0.232
0.616 0.616 0.768


<Q>
Sc4Te2Pb, optimized geometry, DFT PBE; space group = I4_1/amd (141); calculated volume = 26.5 Å³/atom
1.0
-1.051 5.682 -5.302
-6.877 -2.519 2.804
4.254 2.854 5.944
Sc Te Pb
8 4 2
Direct
0.945 0.258 0.314
0.305 0.492 0.186
0.945 0.632 0.686
0.742 0.055 0.686
0.368 0.055 0.314
0.305 0.118 0.814
0.508 0.695 0.814
0.882 0.695 0.186
0.625 0.375 0.750
0.625 0.875 0.250
0.625 0.375 0.250
0.125 0.375 0.750
0.250 0.750 0.500
0.000 0.000 0.000


Most stable of them? <Q>.


<P>
Sc4Te3Pb, optimized geometry, DFT PBE; space group = Pmmn (59); calculated volume = 25.8 Å³/atom
1.0
5.909 0.000 0.000
0.000 5.909 0.000
0.000 0.000 11.843
Sc Te Pb
8 6 2
Direct
0.064 0.750 0.000
0.564 0.251 0.000
0.064 0.251 0.246
0.564 0.749 0.254
0.064 0.749 0.500
0.564 0.250 0.500
0.564 0.749 0.746
0.064 0.251 0.754
0.564 0.750 0.000
0.064 0.751 0.250
0.564 0.249 0.250
0.064 0.250 0.500
0.564 0.249 0.750
0.064 0.751 0.750
0.064 0.250 0.000
0.564 0.750 0.500


<Q>
Sc4Te3Pb, optimized geometry, DFT PBE; space group = P2/c (13); calculated volume = 25.9 Å³/atom
1.0
-5.382 3.960 2.790
0.162 -6.495 3.222
5.230 3.013 5.812
Sc Pb Te
8 2 6
Direct
0.995 0.246 0.629
0.501 0.246 0.877
0.495 0.246 0.371
0.001 0.246 0.123
0.999 0.754 0.877
0.505 0.754 0.629
0.499 0.754 0.123
0.005 0.754 0.371
0.750 0.000 0.877
0.250 0.000 0.123
0.750 0.000 0.375
0.250 0.000 0.625
0.750 0.500 0.622
0.750 0.500 0.126
0.250 0.500 0.378
0.250 0.500 0.874


Most stable of them? <P>.


<P>
Sc2TiPb2, optimized geometry, DFT PBE; space group = P4/mbm (127); calculated volume = 23.7 Å³/atom
1.0
-3.681 2.860 5.949
-5.305 -5.336 -0.717
2.161 -2.489 2.533
Pb Sc Ti
4 4 2
Direct
0.355 0.855 0.000
0.855 0.645 0.000
0.645 0.145 0.000
0.145 0.355 0.000
0.164 0.664 0.500
0.664 0.836 0.500
0.836 0.336 0.500
0.336 0.164 0.500
0.000 0.000 0.000
0.500 0.500 0.000


<Q>
Sc2TiPb2, optimized geometry, DFT PBE; space group = P4/mbm (127); calculated volume = 24.5 Å³/atom
1.0
8.492 0.000 0.000
0.000 8.492 0.000
0.000 0.000 3.398
Pb Sc Ti
4 4 2
Direct
0.175 0.675 0.500
0.675 0.825 0.500
0.825 0.325 0.500
0.325 0.175 0.500
0.374 0.874 0.000
0.874 0.626 0.000
0.626 0.126 0.000
0.126 0.374 0.000
0.000 0.000 0.000
0.500 0.500 0.000


Most stable of them? <P>.